Entry from Alexandria: crystalline BaY3Br at its relaxed geometry (PBE-GGA).

```
BaY3Br
1.0
-0.808 3.442 4.668
4.371 -2.736 2.775
3.812 3.867 -2.191
Y Ba Br
3 1 1
Direct
0.000 0.500 0.000
0.000 0.000 0.500
0.500 0.000 0.000
0.000 0.000 0.000
0.500 0.500 0.500
```

total energy = -3.596 eV per atom
uncorrected formation energy = 1001 meV/atom
crystal system = cubic
calculated volume = 200.8 Å³ per cell
space-group type = Pm-3m (221)